First-principles (GGA-PBE) data for an optimized crystal structure of Pr3Ag4Au2, as listed in Alexandria.

Cell: 10.9830 4.8172 9.1158 Å, 90.00 116.50 90.00°
Space group C2/m (No. 12)
One atom of each set of equivalent atoms:
Pr 0.0000 0.0000 0.0000
Pr 0.1768 0.5000 0.6509
Ag 0.0298 0.0000 0.3689
Ag 0.2253 0.5000 0.0589
Au 0.0967 0.5000 0.2668

Computed properties:
**Energy relative to the elements**: -0.442 eV/atom
**Crystal system**: monoclinic
**M_tot**: 0.00 μB/f.u.
**Total energy**: -4.03 eV per atom

=====

First-principles (GGA-PBE) data for an optimized crystal structure of Ce2NdTe, as listed in Alexandria.

Cell: 7.7293 7.7293 7.7293 Å, 90.00 90.00 90.00°
Space group Fm-3m (No. 225)
One atom of each set of equivalent atoms:
Ce 0.2500 0.2500 0.2500
Nd 0.0000 0.0000 0.0000
Te 0.0000 0.0000 0.5000

Computed properties:
**Crystal system**: cubic
**M_tot**: 1.54 μB/f.u.
**Raw formation energy**: -257 meV per atom
**Total energy**: -5.20 eV per atom
**Energy relative to the lowest polymorph listed for this composition**: 296 meV/atom

=====

> Which formula does entry 1 have?

Pr3Ag4Au2

=====

> Which formula does entry 2 have?

Ce2NdTe